Here is an optimized crystal structure of CdSiS3 from Alexandria. Energies are from GGA-PBE.

Calculated values
For the total moment, the calculation gives 0.0 Bohr magnetons per cell. The calculation puts the density at 3.145 g/cm³. The calculation puts the formation energy (no corrections) at -2.079 eV per formula unit. For the offset from the most stable computed form, the calculation gives 0 meV/atom.

abc: 8.004 8.004 8.004
angles: 46.91 46.91 46.91
Atoms (fractional coordinates):
Cd: 0.167 0.167 0.167
Cd: 0.833 0.833 0.833
Si: 0.426 0.426 0.426
Si: 0.574 0.574 0.574
S: 0.098 0.419 0.744
S: 0.256 0.902 0.581
S: 0.419 0.744 0.098
S: 0.581 0.256 0.902
S: 0.744 0.098 0.419
S: 0.902 0.581 0.256

Here is an optimized crystal structure of CdSiS3 from Alexandria. Energies are from GGA-PBE.

Calculated values
For the total moment, the calculation gives 0.0 Bohr magnetons per cell. The calculation puts the density at 3.314 g/cm³. The calculation puts the formation energy (no corrections) at 4.429 eV per formula unit. For the offset from the most stable computed form, the calculation gives 1302 meV/atom.

abc: 4.913 4.913 4.913
angles: 90.00 90.00 90.00
Atoms (fractional coordinates):
Cd: 0.000 0.000 0.000
Si: 0.500 0.500 0.500
S: 0.000 0.000 0.500
S: 0.000 0.500 0.000
S: 0.500 0.000 0.000

Here is an optimized crystal structure of CdSi2S2 from Alexandria. Energies are from GGA-PBE.

Calculated values
For the total moment, the calculation gives 0.0 Bohr magnetons per cell. The calculation puts the density at 3.532 g/cm³. The calculation puts the formation energy (no corrections) at 1.490 eV per formula unit. For the offset from the most stable computed form, the calculation gives 150 meV/atom.

abc: 6.092 6.092 6.092
angles: 135.53 135.53 64.71
Atoms (fractional coordinates):
Cd: 0.000 0.000 0.000
Si: 0.250 0.750 0.500
Si: 0.750 0.250 0.500
S: 0.325 0.325 0.000
S: 0.675 0.675 0.000

Here is an optimized crystal structure of CdSi3S from Alexandria. Energies are from GGA-PBE.

Calculated values
For the total moment, the calculation gives 0.0 Bohr magnetons per cell. The calculation puts the density at 3.784 g/cm³. The calculation puts the formation energy (no corrections) at 3.941 eV per formula unit. For the offset from the most stable computed form, the calculation gives 0 meV/atom.

abc: 4.647 4.647 4.647
angles: 90.00 90.00 90.00
Atoms (fractional coordinates):
Cd: 0.000 0.000 0.000
Si: 0.000 0.500 0.500
Si: 0.500 0.000 0.500
Si: 0.500 0.500 0.000
S: 0.500 0.500 0.500

Here is an optimized crystal structure of CdSi3S from Alexandria. Energies are from GGA-PBE.

Calculated values
For the total moment, the calculation gives 0.0 Bohr magnetons per cell. The calculation puts the density at 3.026 g/cm³. The calculation puts the formation energy (no corrections) at 6.951 eV per formula unit. For the offset from the most stable computed form, the calculation gives 602 meV/atom.

abc: 5.007 5.007 5.007
angles: 90.00 90.00 90.00
Atoms (fractional coordinates):
Cd: 0.000 0.000 0.000
Si: 0.000 0.000 0.500
Si: 0.000 0.500 0.000
Si: 0.500 0.000 0.000
S: 0.500 0.500 0.500

Here is an optimized crystal structure of Cd3SiS from Alexandria. Energies are from GGA-PBE.

Calculated values
For the total moment, the calculation gives 0.0 Bohr magnetons per cell. The calculation puts the density at 5.200 g/cm³. The calculation puts the formation energy (no corrections) at 1.544 eV per formula unit. For the offset from the most stable computed form, the calculation gives 0 meV/atom.

abc: 5.025 5.025 5.025
angles: 90.00 90.00 90.00
Atoms (fractional coordinates):
Cd: 0.000 0.000 0.500
Cd: 0.000 0.500 0.000
Cd: 0.500 0.000 0.000
Si: 0.000 0.000 0.000
S: 0.500 0.500 0.500

Here is an optimized crystal structure of CdSi2S4 from Alexandria. Energies are from GGA-PBE.

Calculated values
For the total moment, the calculation gives 0.0 Bohr magnetons per cell. The calculation puts the density at 2.222 g/cm³. The calculation puts the formation energy (no corrections) at -3.387 eV per formula unit.

abc: 6.892 6.892 6.892
angles: 99.46 99.46 132.17
Atoms (fractional coordinates):
Cd: 0.000 0.000 0.000
Si: 0.250 0.750 0.500
Si: 0.750 0.250 0.500
S: 0.174 0.556 0.731
S: 0.444 0.174 0.618
S: 0.556 0.826 0.382
S: 0.826 0.444 0.269

Here is an optimized crystal structure of CdSi2S6 from Alexandria. Energies are from GGA-PBE.

Calculated values
For the total moment, the calculation gives 0.0 Bohr magnetons per cell. The calculation puts the density at 1.740 g/cm³. The calculation puts the formation energy (no corrections) at -4.592 eV per formula unit.

abc: 10.669 10.669 6.252
angles: 93.58 93.58 76.23
Atoms (fractional coordinates):
Cd: 0.014 0.986 0.750
Cd: 0.986 0.014 0.250
Si: 0.131 0.269 0.047
Si: 0.269 0.131 0.547
Si: 0.731 0.869 0.453
Si: 0.869 0.731 0.953
S: 0.038 0.804 0.005
S: 0.088 0.459 0.927
S: 0.177 0.304 0.388
S: 0.196 0.962 0.495
S: 0.304 0.177 0.888
S: 0.459 0.088 0.427
S: 0.541 0.912 0.573
S: 0.696 0.823 0.112
S: 0.804 0.038 0.505
S: 0.823 0.696 0.612
S: 0.912 0.541 0.073
S: 0.962 0.196 0.995

Here is an optimized crystal structure of Cd2SiS4 from Alexandria. Energies are from GGA-PBE.

Calculated values
For the total moment, the calculation gives 0.0 Bohr magnetons per cell. The calculation puts the density at 3.569 g/cm³. The calculation puts the formation energy (no corrections) at -4.587 eV per formula unit.

abc: 6.510 6.510 6.510
angles: 125.23 125.23 81.16
Atoms (fractional coordinates):
Cd: 0.250 0.750 0.500
Cd: 0.750 0.250 0.500
Si: 0.000 0.000 0.000
S: 0.116 0.674 0.000
S: 0.326 0.326 0.442
S: 0.674 0.116 0.000
S: 0.884 0.884 0.558

Here is an optimized crystal structure of TaCdSiS2 from Alexandria. Energies are from GGA-PBE.

Calculated values
For the total moment, the calculation gives 0.0 Bohr magnetons per cell. The calculation puts the density at 5.470 g/cm³. The calculation puts the formation energy (no corrections) at 0.100 eV per formula unit. For the offset from the most stable computed form, the calculation gives 0 meV/atom.

abc: 4.721 4.721 5.253
angles: 90.00 90.00 90.00
Atoms (fractional coordinates):
Ta: 0.000 0.000 0.000
Cd: 0.500 0.500 0.500
Si: 0.000 0.000 0.500
S: 0.000 0.500 0.000
S: 0.500 0.000 0.000

Here is an optimized crystal structure of TaCdSiS2 from Alexandria. Energies are from GGA-PBE.

Calculated values
For the total moment, the calculation gives 0.0 Bohr magnetons per cell. The calculation puts the density at 5.701 g/cm³. The calculation puts the formation energy (no corrections) at 7.363 eV per formula unit. For the offset from the most stable computed form, the calculation gives 1453 meV/atom.

abc: 4.782 4.782 4.911
angles: 90.00 90.00 90.00
Atoms (fractional coordinates):
Ta: 0.000 0.000 0.000
Cd: 0.500 0.500 0.500
Si: 0.500 0.500 0.000
S: 0.000 0.500 0.500
S: 0.500 0.000 0.500

Here is an optimized crystal structure of Tl2CdSiS4 from Alexandria. Energies are from GGA-PBE.

Calculated values
For the total moment, the calculation gives 0.0 Bohr magnetons per cell. The calculation puts the density at 4.637 g/cm³. The calculation puts the formation energy (no corrections) at -4.208 eV per formula unit.

abc: 13.703 12.521 7.115
angles: 83.67 65.26 31.07
Atoms (fractional coordinates):
Tl: 0.071 0.071 0.679
Tl: 0.321 0.321 0.929
Tl: 0.679 0.679 0.071
Tl: 0.929 0.929 0.321
Cd: 0.125 0.125 0.125
Cd: 0.875 0.875 0.875
Si: 0.375 0.375 0.375
Si: 0.625 0.625 0.625
S: 0.024 0.628 0.524
S: 0.324 0.524 0.628
S: 0.372 0.976 0.676
S: 0.476 0.676 0.976
S: 0.524 0.324 0.024
S: 0.628 0.024 0.324
S: 0.676 0.476 0.372
S: 0.976 0.372 0.476

For each record above, in turn, the calculated energy values are -0.153, -0.105, -0.136, -0.128, -0.106, -0.079, -0.166, -0.168, -0.149, -0.194, -0.140, -0.146 Ha/atom.